A plane-wave DFT calculation with PBE was carried out for a geometry-optimized SrSmY4S8 structure.

Computed properties:
Size of the total moment in μB/atom: 0.0000
DOS at the Fermi energy in states/eV/cell: 10.2
Uncorrected formation energy in eV/atom: -1.995

```
data_SrSmY4S8
_cell_length_a 8.1836
_cell_length_b 8.1836
_cell_length_c 20.1975
_cell_angle_alpha 90.00
_cell_angle_beta 90.00
_cell_angle_gamma 120.00
_space_group_name_H-M_alt 'R 3 m'
_space_group_IT_number 160
_space_group_name_Hall 'R 3 -2"'
loop_
_atom_site_label
_atom_site_type_symbol
_atom_site_fract_x
_atom_site_fract_y
_atom_site_fract_z
Sr1 Sr 0.0000 0.0000 0.0000
Sm1 Sm 0.0000 0.0000 0.3724
Y1 Y 0.0000 0.0000 0.7490
Y2 Y 0.0046 0.5023 0.8748
S1 S 0.0000 0.0000 0.1385
S2 S 0.0000 0.0000 0.6165
S3 S 0.0171 0.5086 0.1283
S4 S 0.1838 0.3677 0.9511
```